Model a:
A relaxed structure of BaLa2Ru2, computed with PBE.

CIF file:
```
data_BaLa2Ru2
_chemical_formula_sum 'Ba1 La2 Ru2'
_cell_length_a 5.167
_cell_length_b 5.167
_cell_length_c 6.876
_cell_angle_alpha 67.93
_cell_angle_beta 67.93
_cell_angle_gamma 90.00
_space_group_name_H-M_alt 'P 1'
_space_group_IT_number 1
loop_
_space_group_symop_operation_xyz
'x,y,z'
loop_
_atom_site_label
_atom_site_type_symbol
_atom_site_fract_x
_atom_site_fract_y
_atom_site_fract_z
Ru1 Ru 0.750 0.250 0.500
Ru2 Ru 0.250 0.750 0.500
Ba1 Ba 0.000 0.000 0.000
La1 La 0.326 0.326 0.348
La2 La 0.674 0.674 0.652
```

Model b:
A relaxed structure of BaLa2Ru2, computed with PBE.

CIF file:
```
data_BaLa2Ru2
_chemical_formula_sum 'Ba2 La4 Ru4'
_cell_length_a 8.517
_cell_length_b 8.517
_cell_length_c 3.633
_cell_angle_alpha 90.00
_cell_angle_beta 90.00
_cell_angle_gamma 90.00
_space_group_name_H-M_alt 'P 1'
_space_group_IT_number 1
loop_
_space_group_symop_operation_xyz
'x,y,z'
loop_
_atom_site_label
_atom_site_type_symbol
_atom_site_fract_x
_atom_site_fract_y
_atom_site_fract_z
Ru1 Ru 0.360 0.860 0.000
Ru2 Ru 0.860 0.640 0.000
Ru3 Ru 0.640 0.140 0.000
Ru4 Ru 0.140 0.360 0.000
Ba1 Ba 0.000 0.000 0.000
Ba2 Ba 0.500 0.500 0.000
La1 La 0.143 0.643 0.500
La2 La 0.643 0.857 0.500
La3 La 0.857 0.357 0.500
La4 La 0.357 0.143 0.500
```

Model c:
A relaxed structure of BaLa2Ru2, computed with PBE.

CIF file:
```
data_BaLa2Ru2
_chemical_formula_sum 'Ba2 La4 Ru4'
_cell_length_a 8.659
_cell_length_b 8.659
_cell_length_c 3.420
_cell_angle_alpha 90.00
_cell_angle_beta 90.00
_cell_angle_gamma 90.00
_space_group_name_H-M_alt 'P 1'
_space_group_IT_number 1
loop_
_space_group_symop_operation_xyz
'x,y,z'
loop_
_atom_site_label
_atom_site_type_symbol
_atom_site_fract_x
_atom_site_fract_y
_atom_site_fract_z
Ru1 Ru 0.143 0.643 0.500
Ru2 Ru 0.643 0.857 0.500
Ru3 Ru 0.857 0.357 0.500
Ru4 Ru 0.357 0.143 0.500
Ba1 Ba 0.000 0.000 0.000
Ba2 Ba 0.500 0.500 0.000
La1 La 0.361 0.861 0.000
La2 La 0.861 0.639 0.000
La3 La 0.639 0.139 0.000
La4 La 0.139 0.361 0.000
```

Sorted by energy, starting with the most stable: model b, model a, model c.

Model a:
A relaxed structure of BaLa2TlRu, computed with PBE.

CIF file:
```
data_BaLa2TlRu
_chemical_formula_sum 'Ba1 La2 Tl1 Ru1'
_cell_length_a 5.447
_cell_length_b 5.447
_cell_length_c 6.031
_cell_angle_alpha 90.00
_cell_angle_beta 90.00
_cell_angle_gamma 90.00
_space_group_name_H-M_alt 'P 1'
_space_group_IT_number 1
loop_
_space_group_symop_operation_xyz
'x,y,z'
loop_
_atom_site_label
_atom_site_type_symbol
_atom_site_fract_x
_atom_site_fract_y
_atom_site_fract_z
Ru1 Ru 0.000 0.000 0.000
Tl1 Tl 0.500 0.500 0.500
Ba1 Ba 0.000 0.000 0.500
La1 La 0.000 0.500 0.000
La2 La 0.500 0.000 0.000
```

Model b:
A relaxed structure of BaLa2TlRu, computed with PBE.

CIF file:
```
data_BaLa2TlRu
_chemical_formula_sum 'Ba1 La2 Tl1 Ru1'
_cell_length_a 5.486
_cell_length_b 5.486
_cell_length_c 5.656
_cell_angle_alpha 90.00
_cell_angle_beta 90.00
_cell_angle_gamma 90.00
_space_group_name_H-M_alt 'P 1'
_space_group_IT_number 1
loop_
_space_group_symop_operation_xyz
'x,y,z'
loop_
_atom_site_label
_atom_site_type_symbol
_atom_site_fract_x
_atom_site_fract_y
_atom_site_fract_z
Ru1 Ru 0.000 0.000 0.000
Tl1 Tl 0.000 0.000 0.500
Ba1 Ba 0.500 0.500 0.500
La1 La 0.000 0.500 0.000
La2 La 0.500 0.000 0.000
```

Sorted by energy, starting with the most stable: model b, model a.

Model a:
A relaxed structure of BaLa2TiS, computed with PBE.

CIF file:
```
data_BaLa2TiS
_chemical_formula_sum 'Ba1 La2 Ti1 S1'
_cell_length_a 5.790
_cell_length_b 5.790
_cell_length_c 4.718
_cell_angle_alpha 90.00
_cell_angle_beta 90.00
_cell_angle_gamma 90.00
_space_group_name_H-M_alt 'P 1'
_space_group_IT_number 1
loop_
_space_group_symop_operation_xyz
'x,y,z'
loop_
_atom_site_label
_atom_site_type_symbol
_atom_site_fract_x
_atom_site_fract_y
_atom_site_fract_z
S1 S 0.000 0.000 0.000
Ti1 Ti 0.000 0.000 0.500
Ba1 Ba 0.500 0.500 0.500
La1 La 0.000 0.500 0.000
La2 La 0.500 0.000 0.000
```

Model b:
A relaxed structure of BaLa2TiS, computed with PBE.

CIF file:
```
data_BaLa2TiS
_chemical_formula_sum 'Ba1 La2 Ti1 S1'
_cell_length_a 5.320
_cell_length_b 6.016
_cell_length_c 5.320
_cell_angle_alpha 90.00
_cell_angle_beta 90.00
_cell_angle_gamma 90.00
_space_group_name_H-M_alt 'P 1'
_space_group_IT_number 1
loop_
_space_group_symop_operation_xyz
'x,y,z'
loop_
_atom_site_label
_atom_site_type_symbol
_atom_site_fract_x
_atom_site_fract_y
_atom_site_fract_z
S1 S 0.500 0.500 0.500
Ti1 Ti 0.000 0.000 0.000
Ba1 Ba 0.000 0.500 0.000
La1 La 0.000 0.000 0.500
La2 La 0.500 0.000 0.000
```

Sorted by energy, starting with the most stable: model a, model b.